Material: Ca3Ag2Pb
Method: DFT, PBE
State: optimized geometry

Computed properties:
Calculated volume (Å³/atom): 26.9
Energy of formation (eV/f.u.): -2.542
Distance to the lowest polymorph of the same formula (eV per formula unit): 0.00
Fermi-level density of states (states/eV/atom): 0.27
Total magnetization (μB/f.u.): 0.00
Space group: No. 164

Geometry as CIF:
```
data_Ca3Ag2Pb
_cell_length_a 5.331
_cell_length_b 5.331
_cell_length_c 13.132
_cell_angle_alpha 90.00
_cell_angle_beta 90.00
_cell_angle_gamma 120.00
_symmetry_space_group_name_H-M 'P 1'
_symmetry_Int_Tables_number 1
loop_
_symmetry_equiv_pos_as_xyz
'x,y,z'
loop_
_atom_site_label
_atom_site_fract_x
_atom_site_fract_y
_atom_site_fract_z
_atom_site_occupancy
Ca1 0.000 0.000 0.244 1
Ca2 0.000 0.000 0.756 1
Ca3 0.333 0.667 0.418 1
Ca4 0.333 0.667 0.921 1
Ca5 0.667 0.333 0.079 1
Ca6 0.667 0.333 0.582 1
Ag1 0.000 0.000 0.000 1
Ag2 0.000 0.000 0.500 1
Ag3 0.333 0.667 0.165 1
Ag4 0.667 0.333 0.835 1
Pb1 0.333 0.667 0.671 1
Pb2 0.667 0.333 0.329 1
```

---

Material: CaAgPb4
Method: DFT, PBE
State: optimized geometry

Computed properties:
Calculated volume (Å³/atom): 31.7
Energy of formation (eV/f.u.): 0.271
Fermi-level density of states (states/eV/atom): 0.62
Total magnetization (μB/f.u.): 0.00
Space group: No. 216

Geometry as CIF:
```
data_CaAgPb4
_cell_length_a 6.454
_cell_length_b 6.454
_cell_length_c 6.454
_cell_angle_alpha 60.00
_cell_angle_beta 60.00
_cell_angle_gamma 60.00
_symmetry_space_group_name_H-M 'P 1'
_symmetry_Int_Tables_number 1
loop_
_symmetry_equiv_pos_as_xyz
'x,y,z'
loop_
_atom_site_label
_atom_site_fract_x
_atom_site_fract_y
_atom_site_fract_z
_atom_site_occupancy
Ca1 0.000 0.000 0.000 1
Ag1 0.250 0.250 0.250 1
Pb1 0.124 0.625 0.625 1
Pb2 0.625 0.124 0.625 1
Pb3 0.625 0.625 0.124 1
Pb4 0.625 0.625 0.625 1
```

---

Material: CaAg8Pb3
Method: DFT, PBE
State: optimized geometry

Computed properties:
Calculated volume (Å³/atom): 22.0
Energy of formation (eV/f.u.): -0.935
Fermi-level density of states (states/eV/atom): 0.35
Total magnetization (μB/f.u.): 0.00
Space group: No. 160

Geometry as CIF:
```
data_CaAg8Pb3
_cell_length_a 9.892
_cell_length_b 9.892
_cell_length_c 9.892
_cell_angle_alpha 33.59
_cell_angle_beta 33.59
_cell_angle_gamma 33.59
_symmetry_space_group_name_H-M 'P 1'
_symmetry_Int_Tables_number 1
loop_
_symmetry_equiv_pos_as_xyz
'x,y,z'
loop_
_atom_site_label
_atom_site_fract_x
_atom_site_fract_y
_atom_site_fract_z
_atom_site_occupancy
Ca1 0.000 0.000 0.000 1
Ag1 0.063 0.063 0.564 1
Ag2 0.063 0.564 0.063 1
Ag3 0.064 0.563 0.563 1
Ag4 0.313 0.313 0.313 1
Ag5 0.563 0.064 0.563 1
Ag6 0.563 0.563 0.064 1
Ag7 0.564 0.063 0.063 1
Ag8 0.813 0.813 0.813 1
Pb1 0.125 0.125 0.125 1
Pb2 0.499 0.499 0.499 1
Pb3 0.626 0.626 0.626 1
```

---

Material: Ca4AgPb
Method: DFT, PBE
State: optimized geometry

Computed properties:
Calculated volume (Å³/atom): 34.9
Energy of formation (eV/f.u.): 1.446
Distance to the lowest polymorph of the same formula (eV per formula unit): 3.46
Fermi-level density of states (states/eV/atom): 0.97
Total magnetization (μB/f.u.): 0.00
Space group: No. 216

Geometry as CIF:
```
data_Ca4AgPb
_cell_length_a 6.666
_cell_length_b 6.666
_cell_length_c 6.666
_cell_angle_alpha 60.00
_cell_angle_beta 60.00
_cell_angle_gamma 60.00
_symmetry_space_group_name_H-M 'P 1'
_symmetry_Int_Tables_number 1
loop_
_symmetry_equiv_pos_as_xyz
'x,y,z'
loop_
_atom_site_label
_atom_site_fract_x
_atom_site_fract_y
_atom_site_fract_z
_atom_site_occupancy
Ca1 0.125 0.125 0.125 1
Ca2 0.125 0.125 0.626 1
Ca3 0.125 0.626 0.125 1
Ca4 0.626 0.125 0.125 1
Ag1 0.500 0.500 0.500 1
Pb1 0.750 0.750 0.750 1
```

---

| no. | DFT total energy (Ha/atom) |
| --- | --- |
| 1 | -0.1100 |
| 2 | -0.1189 |
| 3 | -0.1129 |
| 4 | -0.0804 |